Entry 1:
A plane-wave DFT calculation with PBE was carried out for KZrTe2 after structural relaxation.

Results
E_form (uncorrected) = -0.85 eV/atom
ρ = 5.58 g cm⁻³

a b c (Å): 3.6726 3.6726 8.5070
angles (deg): 90.00 90.00 90.00
Space group P4/mmm (No. 123)
One atom of each set of equivalent atoms:
K 0.0000 0.0000 0.0000 x1
Zr 0.0000 0.0000 0.5000 x1
Te 0.5000 0.5000 0.2981 x2

***

Entry 2:
A plane-wave DFT calculation with PBE was carried out for K8ZrTe6 after structural relaxation.

Results
E_form (uncorrected) = -0.99 eV/atom
ρ = 2.90 g cm⁻³

a b c (Å): 10.6630 9.3995 13.3671
angles (deg): 90.00 90.00 90.00
Space group Pmn2_1 (No. 31)
One atom of each set of equivalent atoms:
K 0.0000 0.1440 0.0000 x2
K 0.0000 0.1640 0.4851 x2
K 0.1735 0.5122 0.8415 x4
K 0.1829 0.6714 0.1383 x4
K 0.1958 0.9371 0.7609 x4
Zr 0.0000 0.6841 0.4417 x2
Te 0.0000 0.2333 0.7323 x2
Te 0.0000 0.4467 0.3172 x2
Te 0.0000 0.7846 0.9415 x2
Te 0.0000 0.9072 0.3038 x2
Te 0.2123 0.6838 0.5604 x4

***

Repeat the second record exactly.
A plane-wave DFT calculation with PBE was carried out for K8ZrTe6 after structural relaxation.

Results
E_form (uncorrected) = -0.99 eV/atom
ρ = 2.90 g cm⁻³

a b c (Å): 10.6630 9.3995 13.3671
angles (deg): 90.00 90.00 90.00
Space group Pmn2_1 (No. 31)
One atom of each set of equivalent atoms:
K 0.0000 0.1440 0.0000 x2
K 0.0000 0.1640 0.4851 x2
K 0.1735 0.5122 0.8415 x4
K 0.1829 0.6714 0.1383 x4
K 0.1958 0.9371 0.7609 x4
Zr 0.0000 0.6841 0.4417 x2
Te 0.0000 0.2333 0.7323 x2
Te 0.0000 0.4467 0.3172 x2
Te 0.0000 0.7846 0.9415 x2
Te 0.0000 0.9072 0.3038 x2
Te 0.2123 0.6838 0.5604 x4

***

Question: Among the records above, which one has the lowest ρ?
Answer: K8ZrTe6

***

Repeat the second record exactly.
A plane-wave DFT calculation with PBE was carried out for K8ZrTe6 after structural relaxation.

Results
E_form (uncorrected) = -0.99 eV/atom
ρ = 2.90 g cm⁻³

a b c (Å): 10.6630 9.3995 13.3671
angles (deg): 90.00 90.00 90.00
Space group Pmn2_1 (No. 31)
One atom of each set of equivalent atoms:
K 0.0000 0.1440 0.0000 x2
K 0.0000 0.1640 0.4851 x2
K 0.1735 0.5122 0.8415 x4
K 0.1829 0.6714 0.1383 x4
K 0.1958 0.9371 0.7609 x4
Zr 0.0000 0.6841 0.4417 x2
Te 0.0000 0.2333 0.7323 x2
Te 0.0000 0.4467 0.3172 x2
Te 0.0000 0.7846 0.9415 x2
Te 0.0000 0.9072 0.3038 x2
Te 0.2123 0.6838 0.5604 x4

***

Question: Which formula does entry 1 have?
Answer: KZrTe2